Here is Cs2PaI4 after structural relaxation from Alexandria. Energies are from PBE. Values from VASP.

Cell and atoms, written as Quantum ESPRESSO input:
```
&SYSTEM
  ibrav = 0, nat = 7, ntyp = 3
/
ATOMIC_SPECIES
I 126.90 I.upf
Cs 132.91 Cs.upf
Pa 231.04 Pa.upf
ATOMIC_POSITIONS angstrom
I 1.9241 0.0219 -2.3854
I -2.2172 -1.1143 -1.7987
I 0.3356 -5.1751 -7.6521
I 1.5892 -7.1979 -2.7219
Cs 1.4427 -8.7661 -6.7921
Cs 0.4821 -3.6069 -3.5819
Pa 0.0000 0.0000 0.0000
CELL_PARAMETERS angstrom
-4.4345 -2.2286 -3.5973
3.8482 0.0438 -4.7709
2.5110 -10.1882 -2.0058
```

Calculated values
Calculated total energy: -3.4915 eV per atom
Uncorrected formation energy: -7.037 eV/f.u.
Fermi-level density of states: 5.82 states/eV/cell
Space group: No. 139

Here is Cs2PaI7 after structural relaxation from Alexandria. Energies are from PBE. Values from VASP.

Cell and atoms, written as Quantum ESPRESSO input:
```
&SYSTEM
  ibrav = 0, nat = 20, ntyp = 3
/
ATOMIC_SPECIES
Cs 132.91 Cs.upf
I 126.90 I.upf
Pa 231.04 Pa.upf
ATOMIC_POSITIONS angstrom
Cs -5.3216 3.1573 9.0827
Cs -1.2657 6.1556 12.2905
Cs -2.0974 3.5777 4.0625
Cs -4.4899 5.7352 17.3107
I -3.4119 0.9594 11.5280
I -0.2641 2.7664 15.1167
I -0.1881 2.6354 10.5183
I -0.7108 6.8085 16.1883
I -6.3992 6.6775 10.8548
I 0.9679 7.8487 9.0766
I -6.3232 6.5465 6.2565
I -1.2831 5.8175 7.0168
I -4.2177 8.4827 13.7253
I -7.5552 1.4642 12.2966
I -2.3696 0.8303 7.6479
I -5.8765 2.5045 5.1849
I -5.3041 3.4955 14.3564
I -3.1754 8.3535 9.8452
Pa -5.6226 9.5866 11.3038
Pa -0.9647 -0.2736 10.0694
CELL_PARAMETERS angstrom
-7.4633 3.7603 4.4480
-1.3436 -3.8394 11.0661
2.2196 9.3920 5.8590
```

Calculated values
Calculated total energy: -3.3479 eV per atom
Uncorrected formation energy: -11.425 eV/f.u.
Space group: No. 15

Here is Cs3PaI8 after structural relaxation from Alexandria. Energies are from PBE. Values from VASP.

Cell and atoms, written as Quantum ESPRESSO input:
```
&SYSTEM
  ibrav = 0, nat = 24, ntyp = 3
/
ATOMIC_SPECIES
I 126.90 I.upf
Cs 132.91 Cs.upf
Pa 231.04 Pa.upf
ATOMIC_POSITIONS angstrom
I -4.9649 -0.4012 1.8787
I -6.2720 2.5561 6.8698
I -4.7508 -8.2589 5.6444
I -4.1771 3.3598 2.3771
I -8.0261 -7.5341 3.7051
I -7.1208 -5.3210 -4.2721
I -2.8239 -0.6370 5.0997
I -6.3357 -6.8855 0.0796
I -10.3138 -2.6413 1.2488
I -6.1040 -4.2620 2.9218
I -2.6559 -7.4552 1.1517
I -3.3178 -2.4792 -1.9905
I -7.7474 2.1756 3.3071
I -5.2437 -10.1108 2.2767
I -2.7869 -5.3760 4.2692
I -6.6554 -1.0497 5.5042
Cs -11.5357 1.0369 1.3370
Cs -7.1292 -3.0439 -0.9252
Cs 0.0817 -7.8236 5.1689
Cs -1.6477 -2.7157 1.6895
Cs -4.3248 -3.7428 7.4311
Cs -9.8064 -4.0710 4.8164
Pa -5.0465 1.2947 4.4089
Pa -5.1257 -7.1236 2.8660
CELL_PARAMETERS angstrom
-7.6061 -5.6836 -4.5633
3.1486 -9.2998 6.3349
-8.0228 7.4298 4.1186
```

Calculated values
Calculated total energy: -3.2634 eV per atom
Uncorrected formation energy: -14.703 eV/f.u.
Space group: No. 186

Here is CsPaI3 after structural relaxation from Alexandria. Energies are from PBE. Values from VASP.

Cell and atoms, written as Quantum ESPRESSO input:
```
&SYSTEM
  ibrav = 0, nat = 5, ntyp = 3
/
ATOMIC_SPECIES
I 126.90 I.upf
Cs 132.91 Cs.upf
Pa 231.04 Pa.upf
ATOMIC_POSITIONS angstrom
I -0.9399 -0.3740 -2.9275
I -0.2088 -3.0562 0.4575
I 2.9439 -0.3362 -0.9023
Cs 1.7951 -3.7664 -3.3722
Pa 0.0000 0.0000 0.0000
CELL_PARAMETERS angstrom
-1.8799 -0.7480 -5.8550
5.8877 -0.6724 -1.8045
-0.4176 -6.1125 0.9150
```

Calculated values
Calculated total energy: -3.7823 eV per atom
Uncorrected formation energy: -3.912 eV/f.u.
Fermi-level density of states: 8.22 states/eV/cell
Space group: No. 221